[1]
Crystalline Rb3Pa2Au2O5 at its relaxed geometry, computed with PBE.

a = 13.802 Å, b = 13.802 Å, c = 13.802 Å
α = 161.41°, β = 161.41°, γ = 26.41°
Fractional positions:
Rb 0.000 0.000 0.000
Rb 0.166 0.166 0.000
Rb 0.834 0.834 0.000
Pa 0.419 0.419 0.000
Pa 0.581 0.581 0.000
Au 0.301 0.301 0.000
Au 0.699 0.699 0.000
O 0.084 0.584 0.500
O 0.416 0.916 0.500
O 0.500 0.500 0.000
O 0.584 0.084 0.500
O 0.916 0.416 0.500

Values from the calculation:
The calculation puts the uncorrected formation energy at -25.81 eV per formula unit. Its symmetry is No. 139.


[2]
Crystalline CuIrIO6 at its relaxed geometry, computed with PBE.

a = 5.260 Å, b = 5.260 Å, c = 8.990 Å
α = 90.00°, β = 90.00°, γ = 120.00°
Fractional positions:
Cu 0.000 0.000 0.000
Cu 0.000 0.000 0.500
Ir 0.333 0.667 0.250
Ir 0.667 0.333 0.750
I 0.333 0.667 0.750
I 0.667 0.333 0.250
O 0.003 0.354 0.131
O 0.003 0.649 0.369
O 0.351 0.354 0.369
O 0.351 0.997 0.131
O 0.354 0.003 0.631
O 0.354 0.351 0.869
O 0.646 0.649 0.131
O 0.646 0.997 0.369
O 0.649 0.003 0.869
O 0.649 0.646 0.631
O 0.997 0.351 0.631
O 0.997 0.646 0.869

Values from the calculation:
The calculation puts the uncorrected formation energy at -3.53 eV per formula unit. Its symmetry is No. 163.


[3]
Crystalline Ce2Ni4Ge3Pt at its relaxed geometry, computed with PBE.

a = 3.985 Å, b = 3.985 Å, c = 10.467 Å
α = 90.00°, β = 90.00°, γ = 90.00°
Fractional positions:
Ce 0.000 0.500 0.245
Ce 0.500 0.000 0.755
Ni 0.000 0.000 0.500
Ni 0.000 0.500 0.847
Ni 0.500 0.000 0.153
Ni 0.500 0.500 0.500
Ge 0.000 0.000 0.000
Ge 0.000 0.500 0.623
Ge 0.500 0.000 0.377
Pt 0.500 0.500 0.000

Values from the calculation:
As for the energy of formation from the pure elements: -0.6550 eV per atom. Its symmetry is No. 115.


The evaluated raw total energy for the records listed, in turn: -79.0 -95.6 -61.4 eV per cell.